(1)
Nd8AlCo2: optimized geometry, GGA-PBE.

The structure in POSCAR format:
```
Nd8AlCo2
1.0
4.488 -6.788 0.000
4.488 6.788 0.000
-1.172 0.000 5.179
Nd Al Co
8 1 2
Cartesian
0.115 0.000 4.179
2.240 1.728 2.254
4.488 3.426 0.000
2.240 -1.728 2.254
5.564 1.728 2.925
4.488 -3.426 0.000
5.564 -1.728 2.925
7.688 0.000 1.000
4.488 0.000 0.000
3.902 4.174 2.590
3.902 -4.174 2.590
```

Summary:
D(E_F) in states/eV/cell: 12.64
Theoretical density in g cm⁻³: 6.83
Total energy in hartree per atom: -0.188
ΔE_f in eV per atom: -0.0052

---

(2)
MnRh2Br: optimized geometry, GGA-PBE.

The structure in POSCAR format:
```
MnRh2Br
1.0
3.076 0.000 0.000
0.000 3.076 0.000
0.000 0.000 6.748
Mn Rh Br
1 2 1
Cartesian
0.000 0.000 0.000
1.538 1.538 1.402
1.538 1.538 5.346
0.000 0.000 3.374
```

Summary:
D(E_F) in states/eV/cell: 4.81
Theoretical density in g cm⁻³: 8.86
Total energy in hartree per atom: -0.226
E_form (uncorrected) in eV per atom: 0.23
Distance to the lowest polymorph of the same formula in meV/atom: 3